1.
4
Lattice="3.843 0.000 0.000 0.000 3.843 0.000 -1.921 -1.921 5.677" Properties=species:S:1:pos:R:3 comment="SCAN ScCdSe2, PBEsol geometry" vol_a3_per_fu=83.8 formation_energy_uncorrected_kcal_per_mol_atoms=-19.25 dos_ef_per_ev_atom=0.368 energy_ev_per_atom=-22.04 sg="I-4m2, No. 119" pbc="T T T"
Cd 1.921 1.921 0.000
Sc 0.000 1.921 2.839
Se 0.000 0.000 0.000
Se 1.921 0.000 2.839

---

2.
4
Lattice="3.172 0.035 0.000 -0.371 3.150 0.000 0.000 0.000 8.044" Properties=species:S:1:pos:R:3 comment="SCAN Sc2CdSi, PBEsol geometry" vol_a3_per_fu=80.5 formation_energy_uncorrected_kcal_per_mol_atoms=-2.18 dos_ef_per_ev_atom=0.695 energy_ev_per_atom=-17.32 sg="Cmm2, No. 35" pbc="T T T"
Cd 1.401 1.593 2.209
Sc 0.000 0.000 0.072
Sc 1.401 1.593 5.754
Si 0.000 0.000 4.032

---

3.
4
Lattice="-1.324 1.348 -2.545 -4.302 -0.550 1.947 1.051 4.301 1.731" Properties=species:S:1:pos:R:3 comment="SCAN ScCdSi2, PBEsol geometry" vol_a3_per_fu=70.8 formation_energy_uncorrected_kcal_per_mol_atoms=-0.75 dos_ef_per_ev_atom=0.398 energy_ev_per_atom=-16.20 sg="Cmmm, No. 65" pbc="T T T"
Cd -0.662 0.674 -1.272
Sc -2.288 2.550 0.567
Si -2.151 -0.275 0.974
Si 0.525 2.150 0.866

---

4.
8
Lattice="5.737 0.000 0.000 2.868 5.145 0.000 2.868 0.000 5.145" Properties=species:S:1:pos:R:3 comment="SCAN ScCdSi2, PBEsol geometry" vol_a3_per_fu=75.9 formation_energy_uncorrected_kcal_per_mol_atoms=3.73 dos_ef_per_ev_atom=0.623 energy_ev_per_atom=-16.01 sg="I-42d, No. 122" pbc="T T T"
Sc 4.303 2.572 2.572
Sc 2.868 0.000 0.000
Si 2.151 0.092 2.664
Si 7.888 5.052 2.480
Si 6.454 2.664 5.052
Si 6.454 2.480 0.092
Cd 7.171 2.572 2.572
Cd 0.000 0.000 0.000

---

5.
4
Lattice="-2.431 1.000 -1.081 -2.081 -3.943 1.033 -1.316 1.939 4.751" Properties=species:S:1:pos:R:3 comment="SCAN ScCdSi2, PBEsol geometry" vol_a3_per_fu=68.9 formation_energy_uncorrected_kcal_per_mol_atoms=-1.30 dos_ef_per_ev_atom=0.540 energy_ev_per_atom=-16.23 sg="Pmm2, No. 25" pbc="T T T"
Cd -0.662 0.975 2.389
Sc -2.553 -1.034 1.047
Si -0.015 0.022 0.054
Si -2.041 -0.497 4.129

---

6.
4
Lattice="-0.962 2.638 -1.328 -3.195 -0.175 1.966 2.749 3.404 4.771" Properties=species:S:1:pos:R:3 comment="SCAN Sc2CdSi, PBEsol geometry" vol_a3_per_fu=75.5 formation_energy_uncorrected_kcal_per_mol_atoms=-11.34 dos_ef_per_ev_atom=0.489 energy_ev_per_atom=-17.72 sg="Pmmm, No. 47" pbc="T T T"
Cd -0.704 2.934 2.705
Sc 2.123 2.629 3.685
Sc 0.626 0.775 1.086
Si -2.078 1.231 0.319

---

7.
4
Lattice="3.592 0.000 0.000 0.000 3.592 0.000 0.000 0.000 5.486" Properties=species:S:1:pos:R:3 comment="SCAN ScCdSi2, PBEsol geometry" vol_a3_per_fu=70.8 formation_energy_uncorrected_kcal_per_mol_atoms=0.20 dos_ef_per_ev_atom=0.533 energy_ev_per_atom=-16.16 sg="P4mm, No. 99" pbc="T T T"
Cd 0.000 0.000 2.646
Sc 1.796 1.796 4.247
Si 0.000 0.000 5.459
Si 1.796 1.796 1.362

---

8.
5
Lattice="-0.497 -3.588 2.302 -0.866 -2.184 -3.591 7.292 1.492 -0.101" Properties=species:S:1:pos:R:3 comment="SCAN ScCd2Sn2, PBEsol geometry" vol_a3_per_fu=125.2 dos_ef_per_ev_atom=0.633 energy_ev_per_atom=-29.27 sg="I4/mmm, No. 139" e_form_ev_per_atom=0.114 pbc="T T T"
Sc 0.000 0.000 0.000
Sn 2.872 -1.789 -2.169
Sn 3.057 -2.491 0.778
Cd 5.336 -1.126 -0.602
Cd 0.593 -3.155 -0.789

---

9.
4
Lattice="-0.646 3.567 0.500 -2.918 -0.816 2.052 4.397 -0.077 6.222" Properties=species:S:1:pos:R:3 comment="SCAN SrScCd2, PBEsol geometry" vol_a3_per_fu=102.0 dos_ef_per_ev_atom=0.640 energy_ev_per_atom=-24.72 sg="P4/mmm, No. 123" e_form_ev_per_atom=-0.384 pbc="T T T"
Sc 0.416 1.337 4.387
Sr -1.782 1.375 1.276
Cd 1.298 -0.023 1.838
Cd 3.098 -0.054 4.385

---

10.
4
Lattice="-1.752 -0.383 3.316 3.330 -0.468 1.705 0.591 9.233 1.379" Properties=species:S:1:pos:R:3 comment="SCAN Sr2ScCd, PBEsol geometry" vol_a3_per_fu=133.0 de_polymorph_ev_per_atom=0.1209 dos_ef_per_ev_atom=1.328 energy_ev_per_atom=-22.26 sg="P4/mmm, No. 123" e_form_ev_per_atom=0.039 pbc="T T T"
Cd 0.789 -0.426 2.511
Sc 1.084 4.191 3.200
Sr 0.458 7.153 1.069
Sr 0.133 2.079 0.311

---

11.
3
Lattice="3.887 0.000 0.000 0.000 5.137 0.000 0.000 -2.569 4.449" Properties=species:S:1:pos:R:3 comment="SCAN SrScCd, PBEsol geometry" vol_a3_per_fu=88.8 de_polymorph_ev_per_atom=0.0000 dos_ef_per_ev_atom=0.940 energy_ev_per_atom=-22.30 sg="P3m1, No. 156" e_form_ev_per_atom=0.010 pbc="T T T"
Cd 3.245 0.000 0.000
Sc 3.234 0.000 2.966
Sr 1.295 2.569 1.483

---

12.
4
Lattice="-3.331 1.269 -0.455 -1.861 -3.738 3.206 0.672 3.269 4.201" Properties=species:S:1:pos:R:3 comment="SCAN SrScCd2, PBEsol geometry" vol_a3_per_fu=101.5 dos_ef_per_ev_atom=0.451 energy_ev_per_atom=-24.62 sg="Pmm2, No. 25" e_form_ev_per_atom=-0.283 pbc="T T T"
Cd 0.055 0.267 0.343
Cd -0.491 0.272 4.354
Sc -1.254 2.638 2.347
Sr -2.495 -0.742 2.008

---

13.
4
Lattice="-1.893 2.983 1.333 -0.923 -1.966 3.089 7.947 3.100 4.348" Properties=species:S:1:pos:R:3 comment="SCAN Sr2ScCd, PBEsol geometry" vol_a3_per_fu=136.6 de_polymorph_ev_per_atom=0.0000 dos_ef_per_ev_atom=1.004 energy_ev_per_atom=-22.38 sg="P4mm, No. 99" e_form_ev_per_atom=-0.082 pbc="T T T"
Cd 4.346 1.695 2.378
Sc 4.029 2.629 5.186
Sr 7.603 2.966 4.160
Sr 1.074 1.477 3.569

---

14.
5
Lattice="-1.647 2.199 -4.629 -3.618 -3.943 -0.586 -3.630 2.932 2.684" Properties=species:S:1:pos:R:3 comment="SCAN SrSc3Cd, PBEsol geometry" vol_a3_per_fu=156.0 dos_ef_per_ev_atom=1.015 energy_ev_per_atom=-18.79 sg="Pm-3m, No. 221" e_form_ev_per_atom=0.292 pbc="T T T"
Sc -1.809 -1.971 -0.293
Sc -1.815 1.466 1.342
Sc -0.823 1.099 -2.315
Sr -4.447 0.594 -1.265
Cd 0.000 0.000 0.000

---

15.
3
Lattice="5.038 0.000 0.000 2.519 4.363 0.000 2.519 1.454 4.114" Properties=species:S:1:pos:R:3 comment="SCAN SrScCd, PBEsol geometry" vol_a3_per_fu=90.4 de_polymorph_ev_per_atom=0.4109 dos_ef_per_ev_atom=1.240 energy_ev_per_atom=-21.89 sg="F-43m, No. 216" e_form_ev_per_atom=0.421 pbc="T T T"
Cd 5.038 2.909 2.057
Sc 2.519 1.454 1.028
Sr 0.000 0.000 0.000

---

16.
4
Lattice="-2.458 1.016 -1.440 -0.051 -3.696 -2.523 -2.167 -3.147 4.655" Properties=species:S:1:pos:R:3 comment="SCAN ScTaCd2, PBEsol geometry" vol_a3_per_fu=78.9 de_polymorph_ev_per_atom=0.1054 dos_ef_per_ev_atom=0.866 energy_ev_per_atom=-35.29 sg="Amm2, No. 38" e_form_ev_per_atom=0.118 pbc="T T T"
Cd -1.345 -1.045 1.559
Cd -0.429 -2.162 -0.794
Sc -3.016 -2.344 3.495
Ta -3.367 -2.982 0.467

---

17.
4
Lattice="2.970 0.000 0.000 0.000 5.229 0.034 0.000 -1.793 4.913" Properties=species:S:1:pos:R:3 comment="SCAN ScTaCd2, PBEsol geometry" vol_a3_per_fu=76.5 de_polymorph_ev_per_atom=0.0342 dos_ef_per_ev_atom=0.876 energy_ev_per_atom=-35.37 sg="Cmmm, No. 65" e_form_ev_per_atom=0.047 pbc="T T T"
Cd 0.000 2.615 0.017
Cd 0.000 -0.896 2.456
Sc 1.485 0.000 0.000
Ta 1.485 1.718 2.473

---

18.
3
Lattice="2.902 0.027 0.000 -0.029 2.902 0.000 -1.436 -1.465 6.934" Properties=species:S:1:pos:R:3 comment="SCAN ScTaCd, PBEsol geometry" vol_a3_per_fu=58.4 dos_ef_per_ev_atom=0.642 energy_ev_per_atom=-37.08 sg="I4mm, No. 107" e_form_ev_per_atom=0.001 pbc="T T T"
Cd 0.000 0.000 0.043
Sc 0.000 0.000 4.535
Ta 1.436 1.465 2.356

---

19.
4
Lattice="-0.450 -2.943 -0.187 2.761 -0.354 -1.071 2.990 -0.967 8.032" Properties=species:S:1:pos:R:3 comment="SCAN ScTaCd2, PBEsol geometry" vol_a3_per_fu=76.7 de_polymorph_ev_per_atom=0.0000 dos_ef_per_ev_atom=0.704 energy_ev_per_atom=-35.40 sg="P4/mmm, No. 123" e_form_ev_per_atom=0.013 pbc="T T T"
Cd 2.228 -0.721 5.986
Cd 0.762 -0.246 2.046
Sc 1.156 -1.649 -0.629
Ta 2.651 -2.132 3.387

---

20.
4
Lattice="2.931 0.000 0.000 0.000 5.211 -0.004 -1.466 -0.803 5.125" Properties=species:S:1:pos:R:3 comment="SCAN ScTaCd2, PBEsol geometry" vol_a3_per_fu=78.3 de_polymorph_ev_per_atom=0.1425 dos_ef_per_ev_atom=0.705 energy_ev_per_atom=-35.26 sg="C2/m, No. 12" e_form_ev_per_atom=0.156 pbc="T T T"
Cd 0.000 0.875 2.528
Cd 1.466 3.533 2.593
Sc 0.000 2.605 -0.002
Ta 1.466 0.000 0.000